(1)
Density functional theory data (GGA-PBE) for an optimized crystal structure of PrGdAu.

Computed properties:
ΔH_f (0 K) in meV/atom: -584
Volume in Å³/cell: 339.6
Space group: Pnma
Total moment in μB per cell: 0.029

Unit cell a=7.3224 b=5.0594 c=9.1659 alpha=90.00 beta=90.00 gamma=90.00
Positions (direct):
Pr 0.0096 0.2500 0.1777
Pr 0.4904 0.7500 0.6777
Pr 0.5096 0.2500 0.3223
Pr 0.9904 0.7500 0.8223
Gd 0.1501 0.2500 0.5829
Gd 0.3499 0.7500 0.0829
Gd 0.6501 0.2500 0.9171
Gd 0.8499 0.7500 0.4171
Au 0.2484 0.7500 0.4024
Au 0.2516 0.2500 0.9024
Au 0.7484 0.7500 0.0976
Au 0.7516 0.2500 0.5976

(2)
Density functional theory data (GGA-PBE) for an optimized crystal structure of Li2Sc2SiSnPt2.

Computed properties:
Volume in Å³/cell: 128.5
Space group: P-4m2
Total moment in μB per cell: 0.002
Total energy in eV per cell: -45.3

Unit cell a=4.4772 b=4.4772 c=6.4111 alpha=90.00 beta=90.00 gamma=90.00
Positions (direct):
Li 0.0000 0.5000 0.2296
Li 0.5000 0.0000 0.7704
Sc 0.0000 0.0000 0.0000
Sc 0.5000 0.5000 0.5000
Si 0.5000 0.5000 0.0000
Sn 0.0000 0.0000 0.5000
Pt 0.0000 0.5000 0.7699
Pt 0.5000 0.0000 0.2301

(3)
Density functional theory data (GGA-PBE) for an optimized crystal structure of USnW.

Computed properties:
Volume in Å³/cell: 75.6
Space group: F-43m
Total moment in μB per cell: 0.011
Total energy in eV per cell: -24.1

Unit cell a=4.7468 b=4.7468 c=4.7468 alpha=60.00 beta=60.00 gamma=60.00
Positions (direct):
U 0.0000 0.0000 0.0000
Sn 0.7500 0.7500 0.7500
W 0.2500 0.2500 0.2500

(4)
Density functional theory data (GGA-PBE) for an optimized crystal structure of TbTaN2O.

Computed properties:
Volume in Å³/cell: 248.9
Space group: Pmc2_1
Total moment in μB per cell: 0.000
Total energy in eV per cell: -190.6

Unit cell a=7.7843 b=5.6410 c=5.6675 alpha=90.00 beta=90.00 gamma=90.00
Positions (direct):
Tb 0.0000 0.2227 0.0000
Tb 0.0000 0.7773 0.5000
Tb 0.5000 0.2773 0.0038
Tb 0.5000 0.7227 0.5038
Ta 0.2500 0.2500 0.4986
Ta 0.2500 0.7500 0.9986
Ta 0.7500 0.2500 0.4986
Ta 0.7500 0.7500 0.9986
N 0.1874 0.0010 0.2632
N 0.1874 0.9990 0.7632
N 0.3125 0.4983 0.7659
N 0.3125 0.5017 0.2659
N 0.6875 0.4983 0.7659
N 0.6875 0.5017 0.2659
N 0.8126 0.0010 0.2632
N 0.8126 0.9990 0.7632
O 0.0000 0.3662 0.5210
O 0.0000 0.6338 0.0210
O 0.5000 0.1339 0.5184
O 0.5000 0.8661 0.0184

(5)
Density functional theory data (GGA-PBE) for an optimized crystal structure of SrZrTe.

Computed properties:
Volume in Å³/cell: 111.1
Space group: F-43m
Total moment in μB per cell: 3.957
Total energy in eV per cell: -11.9

Unit cell a=5.3967 b=5.3967 c=5.3967 alpha=60.00 beta=60.00 gamma=60.00
Positions (direct):
Sr 0.0000 0.0000 0.0000
Zr 0.2500 0.2500 0.2500
Te 0.7500 0.7500 0.7500

(6)
Density functional theory data (GGA-PBE) for an optimized crystal structure of NdGaMo.

Computed properties:
Volume in Å³/cell: 70.9
Space group: F-43m
Total moment in μB per cell: 1.138
Total energy in eV per cell: -17.4

Unit cell a=4.6460 b=4.6460 c=4.6460 alpha=60.00 beta=60.00 gamma=60.00
Positions (direct):
Nd 0.0000 0.0000 0.0000
Ga 0.7500 0.7500 0.7500
Mo 0.5000 0.5000 0.5000

(7)
Density functional theory data (GGA-PBE) for an optimized crystal structure of Sc4Fe3W2N3.

Computed properties:
Volume in Å³/cell: 309.6
Space group: C2/c
Total moment in μB per cell: 6.944
Total energy in eV per cell: -211.7

Unit cell a=5.2122 b=5.2122 c=13.5856 alpha=101.16 beta=101.16 gamma=59.38
Positions (direct):
Sc 0.0244 0.1995 0.0876
Sc 0.1413 0.3055 0.4119
Sc 0.1995 0.0244 0.5876
Sc 0.3055 0.1413 0.9119
Sc 0.6945 0.8587 0.0881
Sc 0.8005 0.9756 0.4124
Sc 0.8587 0.6945 0.5881
Sc 0.9756 0.8005 0.9124
Fe 0.0576 0.4168 0.7501
Fe 0.1068 0.8932 0.7500
Fe 0.4168 0.0576 0.2501
Fe 0.5832 0.9424 0.7499
Fe 0.8932 0.1068 0.2500
Fe 0.9424 0.5832 0.2499
W 0.3859 0.5463 0.1441
W 0.4537 0.6141 0.3559
W 0.5463 0.3859 0.6441
W 0.6141 0.4537 0.8559
N 0.0000 0.5000 0.0000
N 0.1894 0.6547 0.5010
N 0.3453 0.8106 0.9990
N 0.5000 0.0000 0.5000
N 0.6547 0.1894 0.0010
N 0.8106 0.3453 0.4990

(8)
Density functional theory data (GGA-PBE) for an optimized crystal structure of LuAgSnTe3.

Computed properties:
Volume in Å³/cell: 727.1
Space group: Pnma
Total moment in μB per cell: 0.003
Total energy in eV per cell: -96.9

Unit cell a=9.0522 b=4.4938 c=17.8741 alpha=90.00 beta=90.00 gamma=90.00
Positions (direct):
Lu 0.2370 0.2500 0.0342
Lu 0.2630 0.7500 0.5342
Lu 0.7370 0.2500 0.4658
Lu 0.7630 0.7500 0.9658
Ag 0.1272 0.2500 0.3602
Ag 0.3728 0.7500 0.8602
Ag 0.6272 0.2500 0.1398
Ag 0.8728 0.7500 0.6398
Sn 0.0866 0.2500 0.7533
Sn 0.4134 0.7500 0.2533
Sn 0.5866 0.2500 0.7467
Sn 0.9134 0.7500 0.2467
Te 0.0315 0.2500 0.5837
Te 0.1136 0.7500 0.9417
Te 0.1947 0.2500 0.2075
Te 0.3053 0.7500 0.7075
Te 0.3864 0.2500 0.4417
Te 0.4685 0.7500 0.0837
Te 0.5315 0.2500 0.9163
Te 0.6136 0.7500 0.5583
Te 0.6947 0.2500 0.2925
Te 0.8053 0.7500 0.7925
Te 0.8864 0.2500 0.0583
Te 0.9685 0.7500 0.4163

(9)
Density functional theory data (GGA-PBE) for an optimized crystal structure of MgSnAu2.

Computed properties:
Volume in Å³/cell: 80.5
Space group: F-43m
Total energy in eV per cell: -12.8

Unit cell a=4.8457 b=4.8457 c=4.8457 alpha=60.00 beta=60.00 gamma=60.00
Positions (direct):
Mg 0.0000 0.0000 0.0000
Sn 0.7500 0.7500 0.7500
Au 0.2500 0.2500 0.2500
Au 0.5000 0.5000 0.5000

(10)
Density functional theory data (GGA-PBE) for an optimized crystal structure of TlAgF2.

Computed properties:
Volume in Å³/cell: 66.3
Space group: Amm2
Total energy in eV per cell: -14.3

Unit cell a=3.5065 b=5.5577 c=5.5577 alpha=37.77 beta=90.00 gamma=90.00
Positions (direct):
Tl 0.0000 0.0000 0.0000
Ag 0.5000 0.7840 0.7840
F 0.0000 0.2284 0.2284
F 0.5000 0.5625 0.5625

(11)
Density functional theory data (GGA-PBE) for an optimized crystal structure of HoNbN2O.

Computed properties:
Volume in Å³/cell: 245.6
Space group: Pnma
Total moment in μB per cell: 0.001
Total energy in eV per cell: -180.4

Unit cell a=5.7018 b=7.8432 c=5.4918 alpha=90.00 beta=90.00 gamma=90.00
Positions (direct):
Ho 0.0606 0.2500 0.0244
Ho 0.4394 0.7500 0.5244
Ho 0.5606 0.2500 0.4756
Ho 0.9394 0.7500 0.9756
Nb 0.0000 0.0000 0.5000
Nb 0.0000 0.5000 0.5000
Nb 0.5000 0.0000 0.0000
Nb 0.5000 0.5000 0.0000
N 0.2048 0.5638 0.7963
N 0.2048 0.9362 0.7963
N 0.2952 0.0638 0.2963
N 0.2952 0.4362 0.2963
N 0.7048 0.5638 0.7037
N 0.7048 0.9362 0.7037
N 0.7952 0.0638 0.2037
N 0.7952 0.4362 0.2037
O 0.0422 0.7500 0.3747
O 0.4578 0.2500 0.8747
O 0.5422 0.7500 0.1253
O 0.9578 0.2500 0.6253

(12)
Density functional theory data (GGA-PBE) for an optimized crystal structure of Ta6Fe16Si7.

Computed properties:
Volume in Å³/cell: 348.7
Space group: Fm-3m
Total moment in μB per cell: 4.336
Total energy in eV per cell: -255.5

Unit cell a=7.9008 b=7.9008 c=7.9008 alpha=60.00 beta=60.00 gamma=60.00
Positions (direct):
Ta 0.2034 0.2034 0.7966
Ta 0.2034 0.7966 0.2034
Ta 0.2034 0.7966 0.7966
Ta 0.7966 0.2034 0.2034
Ta 0.7966 0.2034 0.7966
Ta 0.7966 0.7966 0.2034
Fe 0.1407 0.6198 0.6198
Fe 0.1733 0.1733 0.1733
Fe 0.1733 0.1733 0.4802
Fe 0.1733 0.4802 0.1733
Fe 0.3802 0.3802 0.3802
Fe 0.3802 0.3802 0.8593
Fe 0.3802 0.8593 0.3802
Fe 0.4802 0.1733 0.1733
Fe 0.5198 0.8267 0.8267
Fe 0.6198 0.1407 0.6198
Fe 0.6198 0.6198 0.1407
Fe 0.6198 0.6198 0.6198
Fe 0.8267 0.5198 0.8267
Fe 0.8267 0.8267 0.5198
Fe 0.8267 0.8267 0.8267
Fe 0.8593 0.3802 0.3802
Si 0.0000 0.0000 0.5000
Si 0.0000 0.5000 0.0000
Si 0.0000 0.5000 0.5000
Si 0.5000 0.0000 0.0000
Si 0.5000 0.0000 0.5000
Si 0.5000 0.5000 0.0000
Si 0.5000 0.5000 0.5000